# YScTc2 PBEsol optimized geometry
# Energy relative to the lowest polymorph listed for this composition   0.0000 eV/atom
# Formation energy from the elements   199 meV per atom
data_YScTc2
_chemical_formula_sum 'Y2 Sc2 Tc4'
_symmetry_space_group_name_H-M 'I m m m'
_symmetry_Int_Tables_number 71
_symmetry_space_group_name_Hall '-I 2 2'
_cell_length_a 3.279
_cell_length_b 4.912
_cell_length_c 8.753
_cell_angle_alpha 90.00
_cell_angle_beta 90.00
_cell_angle_gamma 90.00
loop_
_atom_site_label
_atom_site_type_symbol
_atom_site_fract_x
_atom_site_fract_y
_atom_site_fract_z
Y1 Y 0.000 0.000 0.000
Sc1 Sc 0.000 0.000 0.500
Tc1 Tc 0.000 0.500 0.246

=====

# Ca2TaTiO6 PBEsol optimized geometry
# Formation energy (no corrections)   -30.8 eV/f.u.
data_Ca2TaTiO6
_chemical_formula_sum 'Ca4 Ta2 Ti2 O12'
_symmetry_space_group_name_H-M 'P 1 21/m 1'
_symmetry_Int_Tables_number 11
_cell_length_a 5.415
_cell_length_b 7.757
_cell_length_c 5.547
_cell_angle_alpha 90.00
_cell_angle_beta 90.01
_cell_angle_gamma 90.00
loop_
_symmetry_equiv_pos_as_xyz
'x,y,z'
'-x,-y,-z'
'-x,y+1/2,-z'
'x,-y+1/2,z'
loop_
_atom_site_label
_atom_site_type_symbol
_atom_site_fract_x
_atom_site_fract_y
_atom_site_fract_z
Ca1 Ca 0.006 0.250 0.041
Ca2 Ca 0.490 0.250 0.557
Ta1 Ta 0.000 0.000 0.500
Ti1 Ti 0.500 0.000 0.000
O1 O 0.084 0.750 0.524
O2 O 0.202 0.043 0.794
O3 O 0.297 0.042 0.296
O4 O 0.421 0.750 0.023

=====

# FeNiPCl2 PBEsol optimized geometry
# Formation energy (no corrections)   3.1 eV/f.u.
data_FeNiPCl2
_chemical_formula_sum 'Fe1 Ni1 P1 Cl2'
_symmetry_space_group_name_H-M 'P 4/m m m'
_symmetry_Int_Tables_number 123
_symmetry_space_group_name_Hall '-P 4 2'
_cell_length_a 4.537
_cell_length_b 4.537
_cell_length_c 4.245
_cell_angle_alpha 90.00
_cell_angle_beta 90.00
_cell_angle_gamma 90.00
loop_
_atom_site_label
_atom_site_type_symbol
_atom_site_fract_x
_atom_site_fract_y
_atom_site_fract_z
Fe1 Fe 0.000 0.000 0.000
Ni1 Ni 0.500 0.500 0.500
P1 P 0.000 0.000 0.500
Cl1 Cl 0.000 0.500 0.000

=====

Number 1: DOS(E_F) 3.2 states/eV/f.u.. Number 2: DOS(E_F) 2.5 states/eV/f.u.. Number 3: DOS(E_F) 9.6 states/eV/f.u..